Record 1
VASP calculation (PBE) on Ho4TmRh after structural relaxation.

Values from the calculation:
The calculation puts the energy of formation at -0.16 eV/atom. The space group is Cmc2_1. Its calculated total energy is -5.178 eV per atom.

a = 9.5444 Å, b = 9.5444 Å, c = 7.4030 Å
α = 90.00°, β = 90.00°, γ = 146.40°
Positions (direct):
Ho 0.0006 0.9994 0.5000
Ho 0.2034 0.7966 0.9917
Ho 0.2042 0.7958 0.5034
Ho 0.3838 0.6162 0.7480
Ho 0.6162 0.3838 0.2480
Ho 0.7958 0.2042 0.0034
Ho 0.7966 0.2034 0.4917
Ho 0.9994 0.0006 0.0000
Tm 0.3778 0.6222 0.2478
Tm 0.6222 0.3778 0.7478
Rh 0.1020 0.8980 0.2485
Rh 0.8980 0.1020 0.7485

=====

Record 2
VASP calculation (PBE) on HoTmRh after structural relaxation.

Values from the calculation:
The calculation puts the energy of formation at -0.66 eV/atom. The space group is Cmcm. Its calculated total energy is -6.126 eV per atom. The value obtained for the offset from the most stable computed form is 0.000 eV/atom.

a = 6.1533 Å, b = 6.1533 Å, c = 6.5175 Å
α = 90.00°, β = 90.00°, γ = 143.91°
Positions (direct):
Ho 0.2155 0.7845 0.7500
Ho 0.7845 0.2155 0.2500
Tm 0.5000 0.5000 0.0000
Tm 0.5000 0.5000 0.5000
Rh 0.1159 0.8841 0.2500
Rh 0.8841 0.1159 0.7500